Version A
Here is crystalline Ba2BiRuO6 at its relaxed geometry from the Alexandria database. Energies are from PBE.

Cell and atoms, written as CIF:
```
data_Ba2BiRuO6
_chemical_formula_sum 'Ba8 Bi4 Ru4 O24'
_cell_length_a 8.5854
_cell_length_b 8.5854
_cell_length_c 8.5854
_cell_angle_alpha 90.00
_cell_angle_beta 90.00
_cell_angle_gamma 90.00
_space_group_name_H-M_alt 'F m -3 m'
_space_group_IT_number 225
_space_group_name_Hall '-F 4 2 3'
loop_
_atom_site_label
_atom_site_fract_x
_atom_site_fract_y
_atom_site_fract_z
Ba1 0.2500 0.2500 0.2500
Bi1 0.0000 0.0000 0.0000
Ru1 0.0000 0.0000 0.5000
O1 0.0000 0.0000 0.2682
```

---

Version B
Here is crystalline Ba2BiRuO6 at its relaxed geometry from the Alexandria database. Energies are from PBE.

Cell and atoms, written as CIF:
```
data_Ba2BiRuO6
_chemical_formula_sum 'Ba8 Bi4 Ru4 O24'
_cell_length_a 6.1293
_cell_length_b 6.1293
_cell_length_c 20.5695
_cell_angle_alpha 90.00
_cell_angle_beta 90.00
_cell_angle_gamma 120.00
_space_group_name_H-M_alt 'P 63/m m c'
_space_group_IT_number 194
_space_group_name_Hall '-P 6c 2c'
loop_
_atom_site_label
_atom_site_fract_x
_atom_site_fract_y
_atom_site_fract_z
Ba1 0.0000 0.0000 0.0000
Ba2 0.3333 0.6667 0.1449
Ba3 0.3333 0.6667 0.7500
Bi1 0.3333 0.6667 0.5612
Ru1 0.0000 0.0000 0.1835
O1 0.0000 0.5000 0.0000
O2 0.1504 0.3007 0.2500
O3 0.1545 0.3089 0.6354
```

---

Most favorable structure: version A. The second most favorable one is 16 meV/atom above it.

---

Version A
Here is crystalline BaBiRuO at its relaxed geometry from the Alexandria database. Energies are from PBE.

Cell and atoms, written as CIF:
```
data_BaBiRuO
_chemical_formula_sum 'Ba1 Bi1 Ru1 O1'
_cell_length_a 3.3782
_cell_length_b 4.5854
_cell_length_c 6.8193
_cell_angle_alpha 107.86
_cell_angle_beta 90.19
_cell_angle_gamma 111.55
_space_group_name_H-M_alt 'P 1'
_space_group_IT_number 1
_space_group_name_Hall 'P 1'
loop_
_atom_site_label
_atom_site_fract_x
_atom_site_fract_y
_atom_site_fract_z
Ba1 0.0000 0.0000 0.0000
Bi1 0.1713 0.3334 0.5573
Ru1 0.8301 0.6558 0.3490
O1 0.3345 0.6667 0.1693
```

---

Version B
Here is crystalline BaBiRuO at its relaxed geometry from the Alexandria database. Energies are from PBE.

Cell and atoms, written as CIF:
```
data_BaBiRuO
_chemical_formula_sum 'Ba3 Bi3 Ru3 O3'
_cell_length_a 4.3577
_cell_length_b 4.3577
_cell_length_c 19.6047
_cell_angle_alpha 90.00
_cell_angle_beta 90.00
_cell_angle_gamma 120.00
_space_group_name_H-M_alt 'R 3 m'
_space_group_IT_number 160
_space_group_name_Hall 'R 3 -2"'
loop_
_atom_site_label
_atom_site_fract_x
_atom_site_fract_y
_atom_site_fract_z
Ba1 0.0000 0.0000 0.0000
Bi1 0.0000 0.0000 0.5086
Ru1 0.0000 0.0000 0.7962
O1 0.0000 0.0000 0.6948
```

---

Most favorable structure: version B. The second most favorable one is 208 meV/atom above it.

---

Version A
Here is crystalline BaBiRuO at its relaxed geometry from the Alexandria database. Energies are from PBE.

Cell and atoms, written as CIF:
```
data_BaBiRuO
_chemical_formula_sum 'Ba2 Bi2 Ru2 O2'
_cell_length_a 3.3280
_cell_length_b 3.7789
_cell_length_c 13.7878
_cell_angle_alpha 90.00
_cell_angle_beta 90.00
_cell_angle_gamma 90.00
_space_group_name_H-M_alt 'A m m 2'
_space_group_IT_number 38
_space_group_name_Hall 'A 2 -2'
loop_
_atom_site_label
_atom_site_fract_x
_atom_site_fract_y
_atom_site_fract_z
Ba1 0.0000 0.0000 0.0000
Bi1 0.5000 0.0000 0.2873
Ru1 0.0000 0.0000 0.6827
O1 0.5000 0.0000 0.5834
```

---

Version B
Here is crystalline BaBiRuO at its relaxed geometry from the Alexandria database. Energies are from PBE.

Cell and atoms, written as CIF:
```
data_BaBiRuO
_chemical_formula_sum 'Ba1 Bi1 Ru1 O1'
_cell_length_a 3.6424
_cell_length_b 3.8752
_cell_length_c 6.5905
_cell_angle_alpha 90.00
_cell_angle_beta 90.27
_cell_angle_gamma 90.00
_space_group_name_H-M_alt 'P 1 m 1'
_space_group_IT_number 6
_space_group_name_Hall 'P -2y'
loop_
_atom_site_label
_atom_site_fract_x
_atom_site_fract_y
_atom_site_fract_z
Ba1 0.0000 0.0000 0.0000
Bi1 0.5040 0.5000 0.4325
Ru1 0.0047 0.0000 0.5245
O1 0.5007 0.5000 0.0920
```

---

Most favorable structure: version B. The second most favorable one is 65 meV/atom above it.

---

Version A
Here is crystalline BaBiSb2O at its relaxed geometry from the Alexandria database. Energies are from PBE.

Cell and atoms, written as CIF:
```
data_BaBiSb2O
_chemical_formula_sum 'Ba1 Bi1 Sb2 O1'
_cell_length_a 5.0884
_cell_length_b 5.0884
_cell_length_c 5.0882
_cell_angle_alpha 90.00
_cell_angle_beta 90.00
_cell_angle_gamma 90.00
_space_group_name_H-M_alt 'P 4/m m m'
_space_group_IT_number 123
_space_group_name_Hall '-P 4 2'
loop_
_atom_site_label
_atom_site_fract_x
_atom_site_fract_y
_atom_site_fract_z
Ba1 0.0000 0.0000 0.0000
Bi1 0.5000 0.5000 0.0000
Sb1 0.0000 0.5000 0.5000
O1 0.5000 0.5000 0.5000
```

---

Version B
Here is crystalline BaBiSb2O at its relaxed geometry from the Alexandria database. Energies are from PBE.

Cell and atoms, written as CIF:
```
data_BaBiSb2O
_chemical_formula_sum 'Ba1 Bi1 Sb2 O1'
_cell_length_a 6.1556
_cell_length_b 6.1556
_cell_length_c 4.3168
_cell_angle_alpha 90.00
_cell_angle_beta 90.00
_cell_angle_gamma 90.00
_space_group_name_H-M_alt 'P 4/m m m'
_space_group_IT_number 123
_space_group_name_Hall '-P 4 2'
loop_
_atom_site_label
_atom_site_fract_x
_atom_site_fract_y
_atom_site_fract_z
Ba1 0.0000 0.0000 0.0000
Bi1 0.5000 0.5000 0.5000
Sb1 0.0000 0.5000 0.5000
O1 0.5000 0.5000 0.0000
```

---

Most favorable structure: version A. The second most favorable one is 201 meV/atom above it.

---

Version A
Here is crystalline Ba2SnBiO at its relaxed geometry from the Alexandria database. Energies are from PBE.

Cell and atoms, written as CIF:
```
data_Ba2SnBiO
_chemical_formula_sum 'Ba2 Sn1 Bi1 O1'
_cell_length_a 6.6408
_cell_length_b 6.6408
_cell_length_c 4.2770
_cell_angle_alpha 90.00
_cell_angle_beta 90.00
_cell_angle_gamma 90.00
_space_group_name_H-M_alt 'P 4/m m m'
_space_group_IT_number 123
_space_group_name_Hall '-P 4 2'
loop_
_atom_site_label
_atom_site_fract_x
_atom_site_fract_y
_atom_site_fract_z
Ba1 0.0000 0.5000 0.0000
Sn1 0.0000 0.0000 0.0000
Bi1 0.5000 0.5000 0.5000
O1 0.0000 0.0000 0.5000
```

---

Version B
Here is crystalline Ba2SnBiO at its relaxed geometry from the Alexandria database. Energies are from PBE.

Cell and atoms, written as CIF:
```
data_Ba2SnBiO
_chemical_formula_sum 'Ba2 Sn1 Bi1 O1'
_cell_length_a 5.5753
_cell_length_b 5.5753
_cell_length_c 4.9384
_cell_angle_alpha 90.00
_cell_angle_beta 90.00
_cell_angle_gamma 90.00
_space_group_name_H-M_alt 'P 4/m m m'
_space_group_IT_number 123
_space_group_name_Hall '-P 4 2'
loop_
_atom_site_label
_atom_site_fract_x
_atom_site_fract_y
_atom_site_fract_z
Ba1 0.0000 0.5000 0.0000
Sn1 0.0000 0.0000 0.5000
Bi1 0.5000 0.5000 0.5000
O1 0.0000 0.0000 0.0000
```

---

Most favorable structure: version B. The second most favorable one is 633 meV/atom above it.

---

Version A
Here is crystalline BaSr2BiO at its relaxed geometry from the Alexandria database. Energies are from PBE.

Cell and atoms, written as CIF:
```
data_BaSr2BiO
_chemical_formula_sum 'Ba1 Sr2 Bi1 O1'
_cell_length_a 5.1994
_cell_length_b 5.1994
_cell_length_c 5.6601
_cell_angle_alpha 90.00
_cell_angle_beta 90.00
_cell_angle_gamma 90.00
_space_group_name_H-M_alt 'P 4/m m m'
_space_group_IT_number 123
_space_group_name_Hall '-P 4 2'
loop_
_atom_site_label
_atom_site_fract_x
_atom_site_fract_y
_atom_site_fract_z
Ba1 0.0000 0.0000 0.0000
Sr1 0.0000 0.5000 0.5000
Bi1 0.5000 0.5000 0.0000
O1 0.0000 0.0000 0.5000
```

---

Version B
Here is crystalline BaSr2BiO at its relaxed geometry from the Alexandria database. Energies are from PBE.

Cell and atoms, written as CIF:
```
data_BaSr2BiO
_chemical_formula_sum 'Ba1 Sr2 Bi1 O1'
_cell_length_a 5.0358
_cell_length_b 5.0358
_cell_length_c 7.0225
_cell_angle_alpha 90.00
_cell_angle_beta 90.00
_cell_angle_gamma 90.00
_space_group_name_H-M_alt 'P 4/m m m'
_space_group_IT_number 123
_space_group_name_Hall '-P 4 2'
loop_
_atom_site_label
_atom_site_fract_x
_atom_site_fract_y
_atom_site_fract_z
Ba1 0.0000 0.0000 0.0000
Sr1 0.0000 0.5000 0.5000
Bi1 0.5000 0.5000 0.0000
O1 0.5000 0.5000 0.5000
```

---

Most favorable structure: version A. The second most favorable one is 377 meV/atom above it.

---

Version A
Here is crystalline BaBiP at its relaxed geometry from the Alexandria database. Energies are from PBE.

Cell and atoms, written as CIF:
```
data_BaBiP
_chemical_formula_sum 'Ba4 Bi4 P4'
_cell_length_a 4.6178
_cell_length_b 20.0215
_cell_length_c 4.2587
_cell_angle_alpha 90.00
_cell_angle_beta 90.00
_cell_angle_gamma 90.00
_space_group_name_H-M_alt 'C m c m'
_space_group_IT_number 63
_space_group_name_Hall '-C 2c 2'
loop_
_atom_site_label
_atom_site_fract_x
_atom_site_fract_y
_atom_site_fract_z
Ba1 0.0000 0.0934 0.2500
Bi1 0.0000 0.2619 0.7500
P1 0.0000 0.4730 0.2500
```

---

Version B
Here is crystalline BaBiP at its relaxed geometry from the Alexandria database. Energies are from PBE.

Cell and atoms, written as CIF:
```
data_BaBiP
_chemical_formula_sum 'Ba1 Bi1 P1'
_cell_length_a 4.8595
_cell_length_b 4.8595
_cell_length_c 4.8880
_cell_angle_alpha 90.00
_cell_angle_beta 90.00
_cell_angle_gamma 120.00
_space_group_name_H-M_alt 'P 3 m 1'
_space_group_IT_number 156
_space_group_name_Hall 'P 3 -2"'
loop_
_atom_site_label
_atom_site_fract_x
_atom_site_fract_y
_atom_site_fract_z
Ba1 0.0000 0.0000 0.0000
Bi1 0.6667 0.3333 0.4873
P1 0.3333 0.6667 0.5820
```

---

Most favorable structure: version A. The second most favorable one is 135 meV/atom above it.

---

Version A
Here is crystalline BaBi2P2 at its relaxed geometry from the Alexandria database. Energies are from PBE.

Cell and atoms, written as CIF:
```
data_BaBi2P2
_chemical_formula_sum 'Ba2 Bi4 P4'
_cell_length_a 5.4717
_cell_length_b 5.4717
_cell_length_c 10.3650
_cell_angle_alpha 90.00
_cell_angle_beta 90.00
_cell_angle_gamma 90.00
_space_group_name_H-M_alt 'I 4/m m m'
_space_group_IT_number 139
_space_group_name_Hall '-I 4 2'
loop_
_atom_site_label
_atom_site_fract_x
_atom_site_fract_y
_atom_site_fract_z
Ba1 0.0000 0.0000 0.0000
Bi1 0.0000 0.0000 0.3369
P1 0.0000 0.5000 0.2500
```

---

Version B
Here is crystalline BaBi2P2 at its relaxed geometry from the Alexandria database. Energies are from PBE.

Cell and atoms, written as CIF:
```
data_BaBi2P2
_chemical_formula_sum 'Ba2 Bi4 P4'
_cell_length_a 4.6465
_cell_length_b 4.6465
_cell_length_c 13.5090
_cell_angle_alpha 90.00
_cell_angle_beta 90.00
_cell_angle_gamma 90.00
_space_group_name_H-M_alt 'I 4/m m m'
_space_group_IT_number 139
_space_group_name_Hall '-I 4 2'
loop_
_atom_site_label
_atom_site_fract_x
_atom_site_fract_y
_atom_site_fract_z
Ba1 0.0000 0.0000 0.0000
Bi1 0.0000 0.5000 0.2500
P1 0.0000 0.0000 0.4214
```

---

Version C
Here is crystalline BaBi2P2 at its relaxed geometry from the Alexandria database. Energies are from PBE.

Cell and atoms, written as CIF:
```
data_BaBi2P2
_chemical_formula_sum 'Ba2 Bi4 P4'
_cell_length_a 8.9468
_cell_length_b 8.9468
_cell_length_c 3.9353
_cell_angle_alpha 90.00
_cell_angle_beta 90.00
_cell_angle_gamma 90.00
_space_group_name_H-M_alt 'P 4/m b m'
_space_group_IT_number 127
_space_group_name_Hall '-P 4 2ab'
loop_
_atom_site_label
_atom_site_fract_x
_atom_site_fract_y
_atom_site_fract_z
Ba1 0.0000 0.0000 0.0000
Bi1 0.1593 0.3407 0.5000
P1 0.1959 0.6959 0.0000
```

---

Most favorable structure: version B. The second most favorable one is 85 meV/atom above it.

---

Version A
Here is crystalline Ba2BiP2 at its relaxed geometry from the Alexandria database. Energies are from PBE.

Cell and atoms, written as CIF:
```
data_Ba2BiP2
_chemical_formula_sum 'Ba4 Bi2 P4'
_cell_length_a 8.3015
_cell_length_b 8.3015
_cell_length_c 4.4773
_cell_angle_alpha 90.00
_cell_angle_beta 90.00
_cell_angle_gamma 90.00
_space_group_name_H-M_alt 'P 4/m b m'
_space_group_IT_number 127
_space_group_name_Hall '-P 4 2ab'
loop_
_atom_site_label
_atom_site_fract_x
_atom_site_fract_y
_atom_site_fract_z
Ba1 0.1460 0.3540 0.0000
Bi1 0.0000 0.0000 0.5000
P1 0.1648 0.6648 0.5000
```

---

Version B
Here is crystalline Ba2BiP2 at its relaxed geometry from the Alexandria database. Energies are from PBE.

Cell and atoms, written as CIF:
```
data_Ba2BiP2
_chemical_formula_sum 'Ba4 Bi2 P4'
_cell_length_a 6.3823
_cell_length_b 6.3823
_cell_length_c 8.2195
_cell_angle_alpha 90.00
_cell_angle_beta 90.00
_cell_angle_gamma 90.00
_space_group_name_H-M_alt 'I 4/m m m'
_space_group_IT_number 139
_space_group_name_Hall '-I 4 2'
loop_
_atom_site_label
_atom_site_fract_x
_atom_site_fract_y
_atom_site_fract_z
Ba1 0.0000 0.5000 0.2500
Bi1 0.0000 0.0000 0.0000
P1 0.0000 0.0000 0.3649
```

---

Most favorable structure: version A. The second most favorable one is 142 meV/atom above it.

---

Version A
Here is crystalline Ba3BiP at its relaxed geometry from the Alexandria database. Energies are from PBE.

Cell and atoms, written as CIF:
```
data_Ba3BiP
_chemical_formula_sum 'Ba12 Bi4 P4'
_cell_length_a 11.3497
_cell_length_b 16.3354
_cell_length_c 4.7397
_cell_angle_alpha 90.00
_cell_angle_beta 90.00
_cell_angle_gamma 90.00
_space_group_name_H-M_alt 'C m m m'
_space_group_IT_number 65
_space_group_name_Hall '-C 2 2'
loop_
_atom_site_label
_atom_site_fract_x
_atom_site_fract_y
_atom_site_fract_z
Ba1 0.0000 0.1599 0.0000
Ba2 0.1916 0.3794 0.5000
Bi1 0.0000 0.0000 0.5000
Bi2 0.0000 0.5000 0.0000
P1 0.2500 0.2500 0.0000
```

---

Version B
Here is crystalline Ba3BiP at its relaxed geometry from the Alexandria database. Energies are from PBE.

Cell and atoms, written as CIF:
```
data_Ba3BiP
_chemical_formula_sum 'Ba12 Bi4 P4'
_cell_length_a 9.8298
_cell_length_b 8.9504
_cell_length_c 9.9110
_cell_angle_alpha 90.00
_cell_angle_beta 100.64
_cell_angle_gamma 90.00
_space_group_name_H-M_alt 'P 1 21/c 1'
_space_group_IT_number 14
_space_group_name_Hall '-P 2ybc'
loop_
_atom_site_label
_atom_site_fract_x
_atom_site_fract_y
_atom_site_fract_z
Ba1 0.0510 0.0269 0.2043
Ba2 0.2436 0.6040 0.0678
Ba3 0.3805 0.2049 0.9807
Bi1 0.4056 0.5680 0.7649
P1 0.0686 0.2204 0.4874
```

---

Most favorable structure: version B. The second most favorable one is 32 meV/atom above it.

---

Version A
Here is crystalline BaBiP2S at its relaxed geometry from the Alexandria database. Energies are from PBE.

Cell and atoms, written as CIF:
```
data_BaBiP2S
_chemical_formula_sum 'Ba1 Bi1 P2 S1'
_cell_length_a 5.4867
_cell_length_b 5.4867
_cell_length_c 5.5582
_cell_angle_alpha 90.00
_cell_angle_beta 90.00
_cell_angle_gamma 90.00
_space_group_name_H-M_alt 'P 4/m m m'
_space_group_IT_number 123
_space_group_name_Hall '-P 4 2'
loop_
_atom_site_label
_atom_site_fract_x
_atom_site_fract_y
_atom_site_fract_z
Ba1 0.0000 0.0000 0.0000
Bi1 0.5000 0.5000 0.5000
P1 0.0000 0.5000 0.0000
S1 0.0000 0.0000 0.5000
```

---

Version B
Here is crystalline BaBiP2S at its relaxed geometry from the Alexandria database. Energies are from PBE.

Cell and atoms, written as CIF:
```
data_BaBiP2S
_chemical_formula_sum 'Ba1 Bi1 P2 S1'
_cell_length_a 5.2791
_cell_length_b 5.2791
_cell_length_c 5.4351
_cell_angle_alpha 90.00
_cell_angle_beta 90.00
_cell_angle_gamma 90.00
_space_group_name_H-M_alt 'P 4/m m m'
_space_group_IT_number 123
_space_group_name_Hall '-P 4 2'
loop_
_atom_site_label
_atom_site_fract_x
_atom_site_fract_y
_atom_site_fract_z
Ba1 0.0000 0.0000 0.0000
Bi1 0.5000 0.5000 0.5000
P1 0.0000 0.5000 0.5000
S1 0.5000 0.5000 0.0000
```

---

Most favorable structure: version B. The second most favorable one is 1083 meV/atom above it.